Run i
LaHoTmAl, optimized geometry, DFT GGA-PBE; calculated volume = 28.45 Å³ per atom; N(E_F) = 3.78 states/eV/cell; SG = P4mm (99)
1.0
3.5279 0.0000 0.0000
0.0000 3.5279 0.0000
0.0000 0.0000 9.1424
La Ho Tm Al
1 1 1 1
Direct
0.0000 0.0000 0.0000 La
0.5000 0.5000 0.7018 Ho
0.5000 0.5000 0.2929 Tm
0.0000 0.0000 0.4954 Al


Run ii
LaHoTmAl, optimized geometry, DFT GGA-PBE; calculated volume = 27.99 Å³ per atom; N(E_F) = 27.14 states/eV/cell; SG = F-43m (216)
1.0
7.6510 0.0000 0.0000
0.0000 7.6510 0.0000
0.0000 0.0000 7.6510
La Ho Tm Al
4 4 4 4
Direct
0.0000 0.0000 0.0000 La
0.0000 0.5000 0.5000 La
0.5000 0.0000 0.5000 La
0.5000 0.5000 0.0000 La
0.0000 0.0000 0.5000 Ho
0.0000 0.5000 0.0000 Ho
0.5000 0.0000 0.0000 Ho
0.5000 0.5000 0.5000 Ho
0.2500 0.2500 0.7500 Tm
0.2500 0.7500 0.2500 Tm
0.7500 0.2500 0.2500 Tm
0.7500 0.7500 0.7500 Tm
0.2500 0.2500 0.2500 Al
0.2500 0.7500 0.7500 Al
0.7500 0.2500 0.7500 Al
0.7500 0.7500 0.2500 Al


How do the energies compare? Relative to the most stable structure, in kJ/mol of atoms: run i 0.0; run ii 11.2.


Run i
LiHo3Al2, optimized geometry, DFT GGA-PBE; calculated volume = 23.73 Å³ per atom; N(E_F) = 2.86 states/eV/cell; SG = P4/mmm (123)
1.0
3.5623 0.0000 0.0000
0.0000 3.5623 0.0000
0.0000 0.0000 11.2186
Li Ho Al
1 3 2
Direct
0.0000 0.0000 0.0000 Li
0.5000 0.5000 0.1799 Ho
0.5000 0.5000 0.5000 Ho
0.5000 0.5000 0.8201 Ho
0.0000 0.0000 0.3354 Al
0.0000 0.0000 0.6646 Al


Run ii
LiHo3Al2, optimized geometry, DFT GGA-PBE; calculated volume = 23.52 Å³ per atom; N(E_F) = 8.66 states/eV/cell; SG = P-3m1 (164)
1.0
5.1002 0.0000 0.0000
-2.5501 4.4169 0.0000
0.0000 0.0000 12.5297
Li Ho Al
2 6 4
Direct
0.3333 0.6667 0.1703 Li
0.6667 0.3333 0.8297 Li
0.0000 0.0000 0.2534 Ho
0.0000 0.0000 0.7466 Ho
0.3333 0.6667 0.4177 Ho
0.3333 0.6667 0.9157 Ho
0.6667 0.3333 0.0843 Ho
0.6667 0.3333 0.5823 Ho
0.0000 0.0000 0.0000 Al
0.0000 0.0000 0.5000 Al
0.3333 0.6667 0.6720 Al
0.6667 0.3333 0.3280 Al


How do the energies compare? Relative to the most stable structure, in kJ/mol of atoms: run i 2.6; run ii 0.0.


Run i
LiHo2Al, optimized geometry, DFT GGA-PBE; calculated volume = 23.85 Å³ per atom; N(E_F) = 3.59 states/eV/cell; SG = P4/mmm (123)
1.0
5.0814 0.0000 0.0000
0.0000 5.0814 0.0000
0.0000 0.0000 3.6951
Li Ho Al
1 2 1
Direct
0.0000 0.0000 0.0000 Li
0.0000 0.5000 0.5000 Ho
0.5000 0.0000 0.5000 Ho
0.5000 0.5000 0.0000 Al


Run ii
LiHo2Al, optimized geometry, DFT GGA-PBE; calculated volume = 23.85 Å³ per atom; N(E_F) = 14.58 states/eV/cell; SG = Fm-3m (225)
1.0
7.2529 0.0000 0.0000
0.0000 7.2529 0.0000
0.0000 0.0000 7.2529
Li Ho Al
4 8 4
Direct
0.0000 0.0000 0.0000 Li
0.0000 0.5000 0.5000 Li
0.5000 0.0000 0.5000 Li
0.5000 0.5000 0.0000 Li
0.2500 0.2500 0.2500 Ho
0.2500 0.2500 0.7500 Ho
0.2500 0.7500 0.2500 Ho
0.2500 0.7500 0.7500 Ho
0.7500 0.2500 0.2500 Ho
0.7500 0.2500 0.7500 Ho
0.7500 0.7500 0.2500 Ho
0.7500 0.7500 0.7500 Ho
0.0000 0.0000 0.5000 Al
0.0000 0.5000 0.0000 Al
0.5000 0.0000 0.0000 Al
0.5000 0.5000 0.5000 Al


How do the energies compare? Relative to the most stable structure, in kJ/mol of atoms: run i 2.3; run ii 0.0.


Run i
LiHo4Al2, optimized geometry, DFT GGA-PBE; calculated volume = 25.91 Å³ per atom; N(E_F) = 12.98 states/eV/cell; SG = P2_1/m (11)
1.0
7.0559 0.0000 0.0000
0.0000 6.2986 0.0000
-3.4064 0.0000 8.1631
Li Ho Al
2 8 4
Direct
0.0535 0.2500 0.3464 Li
0.9465 0.7500 0.6536 Li
0.1754 0.2500 0.7086 Ho
0.3544 0.5096 0.2777 Ho
0.3544 0.9904 0.2777 Ho
0.3816 0.7500 0.9307 Ho
0.6184 0.2500 0.0693 Ho
0.6456 0.0096 0.7223 Ho
0.6456 0.4904 0.7223 Ho
0.8246 0.7500 0.2914 Ho
0.0317 0.2500 0.0004 Al
0.2570 0.7500 0.5544 Al
0.7430 0.2500 0.4456 Al
0.9683 0.7500 0.9996 Al


Run ii
LiHo4Al2, optimized geometry, DFT GGA-PBE; calculated volume = 26.21 Å³ per atom; N(E_F) = 9.16 states/eV/cell; SG = R-3m (166)
1.0
2.5487 1.4715 8.1525
-2.5487 1.4715 8.1525
0.0000 -2.9429 8.1525
Li Ho Al
1 4 2
Direct
0.0000 0.0000 0.0000 Li
0.1297 0.1297 0.1297 Ho
0.3825 0.3825 0.3825 Ho
0.6175 0.6175 0.6175 Ho
0.8703 0.8703 0.8703 Ho
0.2553 0.2553 0.2553 Al
0.7447 0.7447 0.7447 Al


How do the energies compare? Relative to the most stable structure, in kJ/mol of atoms: run i 9.2; run ii 0.0.